No. 1
# YSi2Bi2 | the Alexandria database | GGA-PBEsol | relaxed
data_YSi2Bi2
_chemical_formula_sum 'Y2 Si4 Bi4'
_symmetry_space_group_name_H-M 'P 4/m b m'
_symmetry_Int_Tables_number 127
_symmetry_space_group_name_Hall '-P 4 2ab'
_cell_length_a 7.415
_cell_length_b 7.415
_cell_length_c 4.292
_cell_angle_alpha 90.00
_cell_angle_beta 90.00
_cell_angle_gamma 90.00
loop_
_atom_site_label
_atom_site_fract_x
_atom_site_fract_y
_atom_site_fract_z
Y1 0.000 0.000 0.000
Si1 0.116 0.384 0.000
Bi1 0.186 0.686 0.500
# - total DFT energy (no corrections) (eV/atom) = -5.470
# - ΔE_f (raw) (eV/atom) = -0.09
# - ΔE to the lowest computed polymorph (kJ per mole of atoms) = 0.0
# - density of states at the Fermi level (states/eV per cell) = 7.15



No. 2
# ZnSiBi3 | the Alexandria database | GGA-PBEsol | relaxed
data_ZnSiBi3
_chemical_formula_sum 'Zn1 Si1 Bi3'
_symmetry_space_group_name_H-M 'P m -3 m'
_symmetry_Int_Tables_number 221
_symmetry_space_group_name_Hall '-P 4 2 3'
_cell_length_a 5.375
_cell_length_b 5.375
_cell_length_c 5.375
_cell_angle_alpha 90.00
_cell_angle_beta 90.00
_cell_angle_gamma 90.00
loop_
_atom_site_label
_atom_site_fract_x
_atom_site_fract_y
_atom_site_fract_z
Zn1 0.000 0.000 0.000
Si1 0.500 0.500 0.500
Bi1 0.000 0.500 0.500
# - total DFT energy (no corrections) (eV/atom) = -3.310
# - ΔE_f (raw) (eV/atom) = 0.73
# - density of states at the Fermi level (states/eV per cell) = 3.44



Which value of density of states at the Fermi level does entry 2 give?
3.44 states/eV per cell



Among the records above, which one has the highest density of states at the Fermi level?
YSi2Bi2